meta-GGA SCAN La4ZnIn, single point on PBEsol structure; total energy = -218.24 eV for the cell shown; ΔE_f = 180 meV per atom; volume = 180.79 Å³ per cell; space group = F-43m (216); total magnetic moment = 0.00 μB/cell
1.0
-2.162 1.194 -5.847
-4.177 -3.939 -2.705
-6.014 1.844 -0.845
In La Zn
1 4 1
Cartesian
0.000 0.000 0.000
-4.619 -0.337 -3.514
-5.709 0.265 -6.462
-6.726 -2.323 -4.878
-7.652 0.593 -3.940
-9.265 -0.676 -7.047